(1)
Computed, not measured: a relaxed PrDy2Pt crystal at the PBE-GGA level of DFT.

- ΔE to the lowest computed polymorph (kJ/mol of atoms) = 6.84
- crystal system = tetragonal
- DFT formation energy (eV per atom) = -0.6085

abc: 3.5715 3.5715 8.7317
angles: 90.00 90.00 90.00
Closest atoms and distances in Å follow each position.
Fractional coordinates of all 4 atoms:
Pr 0.0000 0.0000 0.0000  4 Pr 3.57, 8 Dy 3.72
Dy 0.5000 0.5000 0.3128  4 Pt 3.01, 1 Dy 3.27
Dy 0.5000 0.5000 0.6872  4 Pt 3.01, 1 Dy 3.27
Pt 0.0000 0.0000 0.5000  8 Dy 3.01

(2)
Computed, not measured: a relaxed PrDyPt crystal at the PBE-GGA level of DFT.

- ΔE to the lowest computed polymorph (kJ/mol of atoms) = 0.00
- crystal system = monoclinic
- DFT formation energy (eV per atom) = -0.8336

abc: 6.8166 6.8166 7.1303
angles: 90.00 90.61 90.00
Closest atoms and distances in Å follow each position.
Fractional coordinates of all 12 atoms:
Pr 0.2495 0.0000 0.3818  1 Pt 2.85
Pr 0.2505 0.5000 0.6182  1 Pt 2.85
Pr 0.7495 0.5000 0.3818  1 Pt 2.85
Pr 0.7505 0.0000 0.6182  1 Pt 2.85
Dy 0.0000 0.2507 0.0000  4 Pt 2.86-2.88
Dy 0.0000 0.7493 0.0000  4 Pt 2.86-2.88
Dy 0.5000 0.2493 0.0000  4 Pt 2.86-2.88
Dy 0.5000 0.7507 0.0000  4 Pt 2.86-2.88
Pt 0.2455 0.0000 0.7814  1 Pr 2.85, 4 Dy 2.86-2.88
Pt 0.2545 0.5000 0.2186  1 Pr 2.85, 4 Dy 2.86-2.88
Pt 0.7455 0.5000 0.7814  1 Pr 2.85, 4 Dy 2.86-2.88
Pt 0.7545 0.0000 0.2186  1 Pr 2.85, 4 Dy 2.86-2.88

Question: What is the DFT formation energy in the first record?
Answer: -0.6085 eV per atom

Question: Which value of DFT formation energy does entry 2 give?
Answer: -0.8336 eV per atom